KTaMn2: relaxed, PBE-GGA.

The structure belongs to space group Cm (No. 8); the cell edges are 6.235, 3.994 and 7.979 Å and the angles 90.00°, 107.47° and 90.00°. The inequivalent atoms are K at (0.000, 0.000, 0.000), Ta at (0.213, 0.000, 0.556), Mn at (0.314, 0.500, 0.374) and Mn at (0.473, 0.000, 0.374).

As for the crystal system: monoclinic. For the total DFT energy (no corrections), the calculation gives -28.00 eV/f.u. Its formation energy is 0.822 eV/atom. The calculation puts the total magnetic moment at 0.00 Bohr magnetons per cell.

Y2AlSi: relaxed, PBE-GGA.

The structure belongs to space group I-4m2 (No. 119); the cell edges are 4.235, 4.235 and 10.282 Å and the angles 90.00°, 90.00° and 90.00°. The inequivalent atoms are Y at (0.000, 0.000, 0.000), Y at (0.000, 0.500, 0.250), Al at (0.000, 0.500, 0.750) and Si at (0.000, 0.000, 0.500).

As for the crystal system: tetragonal. For the total DFT energy (no corrections), the calculation gives -23.64 eV/f.u. Its uncorrected formation energy is -388 meV/atom. The calculation puts the total magnetic moment at 0.00 Bohr magnetons per cell.

CaAgAs3: relaxed, PBE-GGA.

The structure belongs to space group Pm-3m (No. 221); the cell edges are 5.063, 5.063 and 5.063 Å and the angles 90.00°, 90.00° and 90.00°. The inequivalent atoms are Ca at (0.000, 0.000, 0.000), Ag at (0.500, 0.500, 0.500) and As at (0.000, 0.500, 0.500).

As for the crystal system: cubic. For the total DFT energy (no corrections), the calculation gives -17.79 eV/f.u. Its formation energy is 0.202 eV/atom. The calculation puts the total magnetic moment at 0.00 Bohr magnetons per cell.

MgSc2Re: relaxed, PBE-GGA.

The structure belongs to space group R-3m (No. 166, hexagonal axes); the cell edges are 2.9649, 2.9649 and 32.0213 Å and the angles 90.00°, 90.00° and 120.00°. The inequivalent atoms are Mg at (0.0000, 0.0000, 0.0000), Sc at (0.0000, 0.0000, 0.4182) and Re at (0.0000, 0.0000, 0.5000).

As for the crystal system: trigonal. For the total DFT energy (no corrections), the calculation gives -24.65 eV/f.u. Its formation energy is 0.515 eV/atom. The calculation puts the total magnetic moment at 0.00 Bohr magnetons per cell.

PuThZnHg: relaxed, PBE-GGA.

The structure belongs to space group F-43m (No. 216); the cell edges are 7.455, 7.455 and 7.455 Å and the angles 90.00°, 90.00° and 90.00°. The inequivalent atoms are Pu at (0.000, 0.000, 0.000), Th at (0.000, 0.000, 0.500), Zn at (0.250, 0.250, 0.250) and Hg at (0.250, 0.250, 0.750).

As for the crystal system: cubic. For the total DFT energy (no corrections), the calculation gives -23.69 eV/f.u. Its formation energy is -0.090 eV/atom. The calculation puts the total magnetic moment at 27.12 Bohr magnetons per cell.

Th8FeIr3Se4: relaxed, PBE-GGA.

The structure belongs to space group C2/m (No. 12); the cell edges are 14.231, 8.214 and 8.745 Å and the angles 90.00°, 122.86° and 90.00°. The inequivalent atoms are Th at (0.010, 0.243, 0.287), Th at (0.233, 0.000, 0.713), Th at (0.240, 0.500, 0.717), Fe at (0.000, 0.000, 0.500), Ir at (0.000, 0.500, 0.500), Ir at (0.250, 0.250, 0.500), Se at (0.000, 0.000, 0.000), Se at (0.000, 0.500, 0.000) and Se at (0.250, 0.250, 0.000).

As for the crystal system: monoclinic. For the total DFT energy (no corrections), the calculation gives -127.60 eV/f.u. Its uncorrected formation energy is -1203 meV/atom. The calculation puts the total magnetic moment at 0.00 Bohr magnetons per cell.

SiSb2TeI: relaxed, PBE-GGA.

The structure belongs to space group P4/mmm (No. 123); the cell edges are 5.797, 5.797 and 5.681 Å and the angles 90.00°, 90.00° and 90.00°. The inequivalent atoms are Si at (0.000, 0.000, 0.000), Sb at (0.000, 0.500, 0.500), Te at (0.500, 0.500, 0.000) and I at (0.500, 0.500, 0.500).

As for the crystal system: tetragonal. For the total DFT energy (no corrections), the calculation gives -11.39 eV/f.u. Its uncorrected formation energy is 1394 meV/atom. The calculation puts the total magnetic moment at 0.00 Bohr magnetons per cell.

Hf3CrSn: relaxed, PBE-GGA.

The structure belongs to space group Pm-3m (No. 221); the cell edges are 4.821, 4.821 and 4.821 Å and the angles 90.00°, 90.00° and 90.00°. The inequivalent atoms are Hf at (0.000, 0.000, 0.500), Cr at (0.000, 0.000, 0.000) and Sn at (0.500, 0.500, 0.500).

As for the crystal system: cubic. For the total DFT energy (no corrections), the calculation gives -41.37 eV/f.u. Its formation energy is 0.423 eV/atom. The calculation puts the total magnetic moment at 0.61 Bohr magnetons per cell.